The following is a DFT calculation (GGA-PBE) of a relaxed Pa2Ni4Se5 crystal.

Values from the calculation:
Electronic total energy in eV/atom: -6.06
Formation energy (no corrections) in eV/f.u.: -7.1

Lattice parameters (Å, degrees): 3.9272 3.9272 48.0385 90.00 90.00 120.00
Space group R-3m (No. 166, hexagonal axes)
Asymmetric unit:
Pa: 0.0000 0.0000 0.1302
Ni: 0.0000 0.0000 0.3177
Ni: 0.0000 0.0000 0.4181
Se: 0.0000 0.0000 0.2409
Se: 0.0000 0.0000 0.3666
Se: 0.0000 0.0000 0.5000